No. 1
This record from Alexandria describes an optimized crystal structure of ErZrHg4. The functional is PBE. Values from VASP.

The calculated volume comes out at 138 Å³ per cell. The calculation puts the total magnetization at 0.000 Bohr magnetons per cell. The value obtained for the distance to the lowest polymorph of the same formula is 25 meV per atom. The value obtained for the formation energy is -0.1738 eV per atom.

Quantum ESPRESSO input file:
```
&SYSTEM
  ibrav = 0, nat = 6, ntyp = 3
/
ATOMIC_SPECIES
Er 167.26 Er.upf
Hg 200.59 Hg.upf
Zr 91.22 Zr.upf
CELL_PARAMETERS angstrom
-3.356 -0.204 1.025
-1.468 -0.528 -4.911
2.344 -7.488 0.104
ATOMIC_POSITIONS crystal
Er 0.641 0.497 0.030
Hg 0.309 0.497 0.369
Hg 0.526 0.997 0.794
Zr 0.863 0.997 0.467
Hg 0.196 0.997 0.135
Hg 0.973 0.497 0.694
```

=====

No. 2
This record from Alexandria describes an optimized crystal structure of ErZr2Hg. The functional is PBE. Values from VASP.

The calculated volume comes out at 93 Å³ per cell. The calculation puts the total magnetization at 0.000 Bohr magnetons per cell. The value obtained for the distance to the lowest polymorph of the same formula is 0 meV per atom. The value obtained for the formation energy is -0.0798 eV per atom.

Quantum ESPRESSO input file:
```
&SYSTEM
  ibrav = 0, nat = 4, ntyp = 3
/
ATOMIC_SPECIES
Zr 91.22 Zr.upf
Hg 200.59 Hg.upf
Er 167.26 Er.upf
CELL_PARAMETERS angstrom
4.636 0.000 0.000
0.000 4.490 0.000
0.000 0.000 4.490
ATOMIC_POSITIONS crystal
Zr 0.000 0.000 0.500
Zr 0.000 0.500 0.000
Hg 0.500 0.500 0.500
Er 0.500 0.000 0.000
```

=====

No. 3
This record from Alexandria describes an optimized crystal structure of ErZrHg4. The functional is PBE. Values from VASP.

The calculated volume comes out at 138 Å³ per cell. The calculation puts the total magnetization at 0.207 Bohr magnetons per cell. The value obtained for the distance to the lowest polymorph of the same formula is 0 meV per atom. The value obtained for the formation energy is -0.1983 eV per atom.

Quantum ESPRESSO input file:
```
&SYSTEM
  ibrav = 0, nat = 6, ntyp = 3
/
ATOMIC_SPECIES
Hg 200.59 Hg.upf
Zr 91.22 Zr.upf
Er 167.26 Er.upf
CELL_PARAMETERS angstrom
-0.254 0.156 3.358
-2.446 -2.317 -0.077
8.301 -8.798 1.036
ATOMIC_POSITIONS crystal
Hg 0.500 0.500 0.160
Hg 0.000 0.000 0.331
Hg 0.000 0.000 0.669
Hg 0.500 0.500 0.840
Zr 0.000 0.000 0.000
Er 0.500 0.500 0.500
```

=====

No. 4
This record from Alexandria describes an optimized crystal structure of Er4ZrHg5. The functional is PBE. Values from VASP.

The calculated volume comes out at 244 Å³ per cell. The calculation puts the total magnetization at 0.388 Bohr magnetons per cell. The value obtained for the formation energy is -0.3988 eV per atom.

Quantum ESPRESSO input file:
```
&SYSTEM
  ibrav = 0, nat = 10, ntyp = 3
/
ATOMIC_SPECIES
Er 167.26 Er.upf
Hg 200.59 Hg.upf
Zr 91.22 Zr.upf
CELL_PARAMETERS angstrom
3.666 0.000 0.000
0.000 3.666 0.000
0.000 0.000 18.170
ATOMIC_POSITIONS crystal
Er 0.000 0.000 0.603
Hg 0.500 0.500 0.295
Er 0.000 0.000 0.397
Hg 0.500 0.500 0.093
Zr 0.000 0.000 0.000
Er 0.000 0.000 0.807
Hg 0.500 0.500 0.705
Hg 0.500 0.500 0.500
Hg 0.500 0.500 0.907
Er 0.000 0.000 0.193
```

=====

No. 5
This record from Alexandria describes an optimized crystal structure of Er5ZrHg6. The functional is PBE. Values from VASP.

The calculated volume comes out at 294 Å³ per cell. The calculation puts the total magnetization at 1.872 Bohr magnetons per cell. The value obtained for the formation energy is -0.4054 eV per atom.

Quantum ESPRESSO input file:
```
&SYSTEM
  ibrav = 0, nat = 12, ntyp = 3
/
ATOMIC_SPECIES
Hg 200.59 Hg.upf
Er 167.26 Er.upf
Zr 91.22 Zr.upf
CELL_PARAMETERS angstrom
4.904 -0.029 1.615
0.040 7.343 0.013
-0.030 -0.014 8.166
ATOMIC_POSITIONS crystal
Hg 0.167 0.247 0.667
Hg 0.500 0.253 0.000
Er 0.337 0.000 0.324
Hg 0.833 0.753 0.333
Er 0.668 0.500 0.664
Hg 0.833 0.247 0.333
Er 0.332 0.500 0.336
Hg 0.167 0.753 0.667
Hg 0.500 0.747 0.000
Zr 0.000 0.000 0.000
Er 0.000 0.500 0.000
Er 0.663 0.000 0.676
```

=====

No. 6
This record from Alexandria describes an optimized crystal structure of Ho5Er7. The functional is PBE. Values from VASP.

The calculated volume comes out at 375 Å³ per cell. The calculation puts the total magnetization at 0.000 Bohr magnetons per cell. The value obtained for the distance to the lowest polymorph of the same formula is 196 meV per atom. The value obtained for the formation energy is 0.2007 eV per atom.

Quantum ESPRESSO input file:
```
&SYSTEM
  ibrav = 0, nat = 12, ntyp = 2
/
ATOMIC_SPECIES
Er 167.26 Er.upf
Ho 164.93 Ho.upf
CELL_PARAMETERS angstrom
5.559 0.000 0.000
-2.780 4.768 -0.252
0.000 -2.460 14.291
ATOMIC_POSITIONS crystal
Er 0.229 0.458 0.673
Ho 0.855 0.710 0.561
Er 0.500 0.000 0.500
Ho 0.145 0.290 0.439
Ho 0.392 0.784 0.193
Ho 0.608 0.216 0.807
Ho 0.000 0.000 0.000
Er 0.064 0.129 0.213
Er 0.691 0.381 0.078
Er 0.936 0.871 0.787
Er 0.771 0.542 0.327
Er 0.309 0.619 0.922
```

=====

No. 7
This record from Alexandria describes an optimized crystal structure of HoEr4. The functional is PBE. Values from VASP.

The calculated volume comes out at 151 Å³ per cell. The calculation puts the total magnetization at 0.000 Bohr magnetons per cell. The value obtained for the distance to the lowest polymorph of the same formula is 0 meV per atom. The value obtained for the formation energy is 0.0241 eV per atom.

Quantum ESPRESSO input file:
```
&SYSTEM
  ibrav = 0, nat = 5, ntyp = 2
/
ATOMIC_SPECIES
Er 167.26 Er.upf
Ho 164.93 Ho.upf
CELL_PARAMETERS angstrom
3.459 0.002 0.550
1.681 3.023 0.550
-0.543 -0.320 14.376
ATOMIC_POSITIONS crystal
Er 0.399 0.399 0.800
Ho 0.000 0.000 0.000
Er 0.601 0.601 0.200
Er 0.200 0.200 0.400
Er 0.800 0.800 0.600
```

=====

No. 8
This record from Alexandria describes an optimized crystal structure of Ho5Er3. The functional is PBE. Values from VASP.

The calculated volume comes out at 248 Å³ per cell. The calculation puts the total magnetization at 0.000 Bohr magnetons per cell. The value obtained for the formation energy is 0.0002 eV per atom.

Quantum ESPRESSO input file:
```
&SYSTEM
  ibrav = 0, nat = 8, ntyp = 2
/
ATOMIC_SPECIES
Ho 164.93 Ho.upf
Er 167.26 Er.upf
CELL_PARAMETERS angstrom
-3.223 -0.981 1.243
1.863 -5.181 0.740
3.562 2.930 11.548
ATOMIC_POSITIONS crystal
Ho 0.500 0.000 0.209
Er 0.000 0.500 0.791
Ho 0.500 0.500 0.041
Ho 0.000 0.500 0.292
Er 0.500 0.000 0.708
Ho 0.000 0.000 0.958
Ho 0.000 0.000 0.459
Er 0.500 0.500 0.542
```

=====

No. 9
This record from Alexandria describes an optimized crystal structure of Ho3Er13. The functional is PBE. Values from VASP.

The calculated volume comes out at 485 Å³ per cell. The calculation puts the total magnetization at 0.000 Bohr magnetons per cell. The value obtained for the distance to the lowest polymorph of the same formula is 20 meV per atom. The value obtained for the formation energy is 0.0193 eV per atom.

Quantum ESPRESSO input file:
```
&SYSTEM
  ibrav = 0, nat = 16, ntyp = 2
/
ATOMIC_SPECIES
Er 167.26 Er.upf
Ho 164.93 Ho.upf
CELL_PARAMETERS angstrom
6.999 0.012 0.000
-0.013 6.999 0.000
0.000 0.000 9.891
ATOMIC_POSITIONS crystal
Er 0.750 0.750 0.000
Ho 0.000 0.000 0.250
Ho 0.750 0.250 0.000
Er 0.500 0.000 0.250
Er 0.500 0.500 0.250
Er 0.250 0.750 0.000
Er 0.000 0.500 0.250
Er 0.750 0.750 0.500
Er 0.250 0.250 0.500
Er 0.500 0.000 0.750
Er 0.250 0.250 0.000
Ho 0.000 0.000 0.750
Er 0.750 0.250 0.500
Er 0.000 0.500 0.750
Er 0.500 0.500 0.750
Er 0.250 0.750 0.500
```

=====

No. 10
This record from Alexandria describes an optimized crystal structure of Ho7Er5. The functional is PBE. Values from VASP.

The calculated volume comes out at 367 Å³ per cell. The calculation puts the total magnetization at 0.000 Bohr magnetons per cell. The value obtained for the distance to the lowest polymorph of the same formula is 0 meV per atom. The value obtained for the formation energy is 0.0052 eV per atom.

Quantum ESPRESSO input file:
```
&SYSTEM
  ibrav = 0, nat = 12, ntyp = 2
/
ATOMIC_SPECIES
Ho 164.93 Ho.upf
Er 167.26 Er.upf
CELL_PARAMETERS angstrom
3.478 0.000 0.548
1.394 8.882 2.459
-0.095 0.209 11.903
ATOMIC_POSITIONS crystal
Ho 0.972 0.306 0.750
Er 0.833 0.833 0.500
Ho 0.333 0.333 0.000
Ho 0.361 0.028 0.250
Er 0.000 0.000 0.000
Er 0.306 0.639 0.750
Er 0.694 0.361 0.250
Ho 0.028 0.694 0.250
Ho 0.500 0.500 0.500
Ho 0.667 0.667 0.000
Er 0.167 0.167 0.500
Ho 0.639 0.972 0.750
```

=====

No. 11
This record from Alexandria describes an optimized crystal structure of Ho3Er13. The functional is PBE. Values from VASP.

The calculated volume comes out at 493 Å³ per cell. The calculation puts the total magnetization at 0.000 Bohr magnetons per cell. The value obtained for the distance to the lowest polymorph of the same formula is 0 meV per atom. The value obtained for the formation energy is -0.0004 eV per atom.

Quantum ESPRESSO input file:
```
&SYSTEM
  ibrav = 0, nat = 16, ntyp = 2
/
ATOMIC_SPECIES
Er 167.26 Er.upf
Ho 164.93 Ho.upf
CELL_PARAMETERS angstrom
7.169 0.000 0.000
0.000 8.265 -0.919
0.000 -0.008 8.316
ATOMIC_POSITIONS crystal
Er 0.750 0.459 0.042
Er 0.500 0.292 0.708
Er 0.250 0.459 0.042
Er 0.000 0.792 0.208
Er 0.500 0.708 0.791
Ho 0.000 0.292 0.708
Er 0.750 0.958 0.541
Ho 0.250 0.041 0.959
Ho 0.750 0.041 0.959
Er 0.000 0.209 0.292
Er 0.250 0.542 0.458
Er 0.500 0.209 0.292
Er 0.250 0.958 0.541
Er 0.000 0.708 0.791
Er 0.500 0.792 0.208
Er 0.750 0.542 0.458
```

=====

No. 12
This record from Alexandria describes an optimized crystal structure of Ho3Er5. The functional is PBE. Values from VASP.

The calculated volume comes out at 247 Å³ per cell. The calculation puts the total magnetization at 0.000 Bohr magnetons per cell. The value obtained for the formation energy is -0.0010 eV per atom.

Quantum ESPRESSO input file:
```
&SYSTEM
  ibrav = 0, nat = 8, ntyp = 2
/
ATOMIC_SPECIES
Ho 164.93 Ho.upf
Er 167.26 Er.upf
CELL_PARAMETERS angstrom
-3.028 -0.810 -1.743
-1.180 -3.836 3.831
-6.110 8.523 6.652
ATOMIC_POSITIONS crystal
Ho 0.500 0.000 0.709
Ho 0.500 0.500 0.541
Ho 0.000 0.500 0.792
Er 0.000 0.500 0.291
Er 0.500 0.500 0.042
Er 0.000 0.000 0.458
Er 0.000 0.000 0.959
Er 0.500 0.000 0.208
```